1.
Here is a relaxed Ca2Pr7Dy2 crystal from the Alexandria database. Energies are from PBE.

DFT formation energy ... 1.6 eV/f.u.
M_tot ... 0.00 μB per formula unit

abc: 18.3301 11.8678 3.7304
angles: 90.00 90.03 90.00
Closest atoms and distances in Å follow each position.
Space group C2/m (No. 12)
Unique sites:
Ca  0.2354  0.0000  0.4988  6 Pr 3.64-3.67, 2 Ca 3.73
Pr  0.0000  0.0000  0.0000  6 Pr 3.73-4.05, 4 Dy 3.80
Pr  0.0922  0.5000  0.0013  5 Pr 3.36-3.73, 4 Dy 3.63-3.64, 2 Ca 3.67
Pr  0.1593  0.2361  0.9994  4 Pr 3.34-3.73, 2 Dy 3.50, 2 Ca 3.64-3.65
Dy  0.0000  0.2790  0.5000  10 Pr 3.50-3.80, 2 Dy 3.73



2.
Here is a relaxed CaPr2Dy crystal from the Alexandria database. Energies are from PBE.

DFT formation energy ... 0.4 eV/f.u.
M_tot ... 0.00 μB per formula unit
Polymorph energy (0 for the lowest one) ... 0.0902 eV per atom

abc: 8.3141 8.3141 8.3141
angles: 90.00 90.00 90.00
Closest atoms and distances in Å follow each position.
Space group Fm-3m (No. 225)
Unique sites:
Ca  0.0000  0.0000  0.0000  8 Pr 3.60
Pr  0.2500  0.2500  0.2500  4 Ca 3.60, 4 Dy 3.60
Dy  0.0000  0.0000  0.5000  8 Pr 3.60



What did the second record say?
Here is a relaxed CaPr2Dy crystal from the Alexandria database. Energies are from PBE.

DFT formation energy ... 0.4 eV/f.u.
M_tot ... 0.00 μB per formula unit
Polymorph energy (0 for the lowest one) ... 0.0902 eV per atom

abc: 8.3141 8.3141 8.3141
angles: 90.00 90.00 90.00
Closest atoms and distances in Å follow each position.
Space group Fm-3m (No. 225)
Unique sites:
Ca  0.0000  0.0000  0.0000  8 Pr 3.60
Pr  0.2500  0.2500  0.2500  4 Ca 3.60, 4 Dy 3.60
Dy  0.0000  0.0000  0.5000  8 Pr 3.60